Material: NaCrN2F
Method: DFT, PBE+U
State: optimized geometry

a = 4.2830 Å, b = 4.2830 Å, c = 3.8618 Å
α = 90.00°, β = 90.00°, γ = 90.00°
Element x y z (fractional)
Na: 0.0000 0.0000 0.0000
Cr: 0.5000 0.5000 0.5000
N: 0.0000 0.5000 0.0000
N: 0.5000 0.0000 0.0000
F: 0.0000 0.0000 0.5000

crystal system	tetragonal
total DFT energy (no corrections)	-3.911	eV/atom
space group	No. 123
M_tot	4.00	μB per formula unit